Ba2ZrNi | PBE | optimized geometry

Values from the calculation:
**E above lowest polymorph**: 0.000 eV/atom
**Theoretical density**: 5.4 g/cm3
**VASP energy**: -35.03 eV/cell

Cell lengths 3.601, 3.559, 20.257 Å; angles 90.00, 90.00, 90.00 degrees
Space group Amm2 (No. 38)
Asymmetric unit:
Ba (0.000, 0.000, 0.000) (multiplicity 2)
Ba (0.500, 0.000, 0.191) (multiplicity 2)
Zr (0.500, 0.000, 0.355) (multiplicity 2)
Ni (0.000, 0.000, 0.810) (multiplicity 2)

---

Ba3ZrNi | PBE | optimized geometry

Values from the calculation:
**E above lowest polymorph**: 0.000 eV/atom
**Theoretical density**: 4.4 g/cm3
**VASP energy**: -17.13 eV/cell

Cell lengths 5.974, 5.974, 5.974 Å; angles 90.00, 90.00, 90.00 degrees
Space group Pm-3m (No. 221)
Asymmetric unit:
Ba (0.000, 0.000, 0.500) (multiplicity 3)
Zr (0.500, 0.500, 0.500) (multiplicity 1)
Ni (0.000, 0.000, 0.000) (multiplicity 1)

---

BaZr4Ni | PBE | optimized geometry

Values from the calculation:
**Theoretical density**: 6.2 g/cm3
**VASP energy**: -150.05 eV/cell

Cell lengths 8.432, 8.432, 8.432 Å; angles 90.00, 90.00, 90.00 degrees
Space group F-43m (No. 216)
Asymmetric unit:
Ba (0.000, 0.000, 0.000) (multiplicity 4)
Zr (0.124, 0.124, 0.376) (multiplicity 16)
Ni (0.250, 0.250, 0.750) (multiplicity 4)

---

Ba2ZrNi | PBE | optimized geometry

Values from the calculation:
**E above lowest polymorph**: 0.625 eV/atom
**Theoretical density**: 6.0 g/cm3
**VASP energy**: -15.01 eV/cell

Cell lengths 4.074, 5.303, 5.427 Å; angles 90.00, 90.00, 90.00 degrees
Space group Pmmm (No. 47)
Asymmetric unit:
Ba (0.000, 0.000, 0.000) (multiplicity 1)
Ba (0.500, 0.000, 0.500) (multiplicity 1)
Zr (0.000, 0.500, 0.500) (multiplicity 1)
Ni (0.500, 0.500, 0.000) (multiplicity 1)

---

BaZr3Ni | PBE | optimized geometry

Values from the calculation:
**E above lowest polymorph**: 1.800 eV/atom
**Theoretical density**: 5.4 g/cm3
**VASP energy**: -22.71 eV/cell

Cell lengths 5.238, 5.238, 5.238 Å; angles 90.00, 90.00, 90.00 degrees
Space group Pm-3m (No. 221)
Asymmetric unit:
Ba (0.000, 0.000, 0.000) (multiplicity 1)
Zr (0.000, 0.000, 0.500) (multiplicity 3)
Ni (0.500, 0.500, 0.500) (multiplicity 1)

---

Ba2ZrNi | PBE | optimized geometry

Values from the calculation:
**E above lowest polymorph**: 0.393 eV/atom
**Theoretical density**: 5.5 g/cm3
**VASP energy**: -31.88 eV/cell

Cell lengths 5.156, 5.173, 9.593 Å; angles 90.00, 90.00, 90.00 degrees
Space group Cmmm (No. 65)
Asymmetric unit:
Ba (0.000, 0.000, 0.199) (multiplicity 4)
Zr (0.000, 0.500, 0.500) (multiplicity 2)
Ni (0.000, 0.500, 0.000) (multiplicity 2)